The following is a PBE calculation of Sr2HfPtSe6 after structural relaxation, from the Open Quantum Materials Database.

POSCAR file:
```
Sr2HfPtSe6
1.0
6.835 0.000 0.000
2.962 6.222 0.000
2.940 1.934 5.996
Sr Hf Pt Se
2 1 1 6
Cartesian
3.099 2.029 1.440
9.637 6.127 4.556
6.368 4.078 2.998
0.000 0.000 0.000
4.238 5.319 2.025
6.155 5.793 5.039
5.048 2.452 4.636
7.688 5.704 1.360
6.581 2.363 0.957
8.497 2.836 3.972
```

Output
crystal system: triclinic
space-group type: P-1 (2)
total DFT energy (no corrections): -5.155 eV/atom